No. 1
A plane-wave DFT calculation with PBE-GGA was carried out for a relaxed structure of Nb2TlIr2.

Results
- uncorrected energy (eV per atom) = -8.28
- total magnetic moment (μB per cell) = 0.00
- SG = P4/mbm

Cell lengths 7.8378, 7.8378, 2.9452 Å; angles 90.00, 90.00, 90.00 degrees
With the nearest neighbours (Å) after each atom.
Sites, in units of the cell vectors:
1 Nb 0.1624 0.3376 0.0000  6 Ir 2.73-2.75, 2 Nb 2.95
2 Nb 0.3376 0.8376 0.0000  6 Ir 2.73-2.75, 2 Nb 2.95
3 Nb 0.6624 0.1624 0.0000  6 Ir 2.73-2.75, 2 Nb 2.95
4 Nb 0.8376 0.6624 0.0000  6 Ir 2.73-2.75, 2 Nb 2.95
5 Tl 0.0000 0.0000 0.5000  2 Tl 2.95, 4 Ir 3.08, 8 Nb 3.28
6 Tl 0.5000 0.5000 0.5000  2 Tl 2.95, 4 Ir 3.08, 8 Nb 3.28
7 Ir 0.1286 0.6286 0.5000  6 Nb 2.73-2.75, 3 Ir 2.85-2.95
8 Ir 0.3714 0.1286 0.5000  6 Nb 2.73-2.75, 3 Ir 2.85-2.95
9 Ir 0.6286 0.8714 0.5000  6 Nb 2.73-2.75, 3 Ir 2.85-2.95
10 Ir 0.8714 0.3714 0.5000  6 Nb 2.73-2.75, 3 Ir 2.85-2.95

No. 2
A plane-wave DFT calculation with PBE-GGA was carried out for a relaxed structure of Ga2Hg2Pd.

Results
- uncorrected energy (eV per atom) = -2.24
- total magnetic moment (μB per cell) = 0.00
- SG = P4/mbm

Cell lengths 7.3155, 7.3155, 3.9731 Å; angles 90.00, 90.00, 90.00 degrees
With the nearest neighbours (Å) after each atom.
Sites, in units of the cell vectors:
1 Ga 0.1674 0.3326 0.0000  6 Hg 2.77-3.03
2 Ga 0.3326 0.8326 0.0000  6 Hg 2.77-3.03
3 Ga 0.6674 0.1674 0.0000  6 Hg 2.77-3.03
4 Ga 0.8326 0.6674 0.0000  6 Hg 2.77-3.03
5 Hg 0.1454 0.6454 0.5000  6 Ga 2.77-3.03, 2 Pd 2.80, 1 Hg 3.01
6 Hg 0.3546 0.1454 0.5000  6 Ga 2.77-3.03, 2 Pd 2.80, 1 Hg 3.01
7 Hg 0.6454 0.8546 0.5000  6 Ga 2.77-3.03, 2 Pd 2.80, 1 Hg 3.01
8 Hg 0.8546 0.3546 0.5000  6 Ga 2.77-3.03, 2 Pd 2.80, 1 Hg 3.01
9 Pd 0.0000 0.0000 0.5000  4 Hg 2.80
10 Pd 0.5000 0.5000 0.5000  4 Hg 2.80

No. 3
A plane-wave DFT calculation with PBE-GGA was carried out for a relaxed structure of Ac8NdHo4.

Results
- uncorrected energy (eV per atom) = -3.91
- total magnetic moment (μB per cell) = 0.00
- SG = R-3m

Cell lengths 8.3234, 8.3234, 8.3234 Å; angles 90.05, 90.05, 90.05 degrees
With the nearest neighbours (Å) after each atom.
Sites, in units of the cell vectors:
1 Ac 0.2410 0.2410 0.2410  4 Ho 3.47-3.65, 1 Nd 3.73
2 Ac 0.2409 0.2409 0.7586  4 Ho 3.48-3.65, 1 Nd 3.73
3 Ac 0.2409 0.7586 0.2409  4 Ho 3.48-3.65, 1 Nd 3.73
4 Ac 0.2414 0.7591 0.7591  4 Ho 3.48-3.65, 1 Nd 3.73
5 Ac 0.7586 0.2409 0.2409  4 Ho 3.48-3.65, 1 Nd 3.73
6 Ac 0.7591 0.2414 0.7591  4 Ho 3.48-3.65, 1 Nd 3.73
7 Ac 0.7591 0.7591 0.2414  4 Ho 3.48-3.65, 1 Nd 3.73
8 Ac 0.7590 0.7590 0.7590  4 Ho 3.47-3.65, 1 Nd 3.73
9 Nd 0.5000 0.5000 0.5000  8 Ac 3.73, 6 Ho 4.16
10 Ho 0.0000 0.0000 0.0000  8 Ac 3.47-3.48
11 Ho 0.0000 0.5000 0.5000  8 Ac 3.65
12 Ho 0.5000 0.0000 0.5000  8 Ac 3.65
13 Ho 0.5000 0.5000 0.0000  8 Ac 3.65

Question: Which formula does entry 1 have?
Answer: Nb2TlIr2

Repeat the first record exactly.
A plane-wave DFT calculation with PBE-GGA was carried out for a relaxed structure of Nb2TlIr2.

Results
- uncorrected energy (eV per atom) = -8.28
- total magnetic moment (μB per cell) = 0.00
- SG = P4/mbm

Cell lengths 7.8378, 7.8378, 2.9452 Å; angles 90.00, 90.00, 90.00 degrees
With the nearest neighbours (Å) after each atom.
Sites, in units of the cell vectors:
1 Nb 0.1624 0.3376 0.0000  6 Ir 2.73-2.75, 2 Nb 2.95
2 Nb 0.3376 0.8376 0.0000  6 Ir 2.73-2.75, 2 Nb 2.95
3 Nb 0.6624 0.1624 0.0000  6 Ir 2.73-2.75, 2 Nb 2.95
4 Nb 0.8376 0.6624 0.0000  6 Ir 2.73-2.75, 2 Nb 2.95
5 Tl 0.0000 0.0000 0.5000  2 Tl 2.95, 4 Ir 3.08, 8 Nb 3.28
6 Tl 0.5000 0.5000 0.5000  2 Tl 2.95, 4 Ir 3.08, 8 Nb 3.28
7 Ir 0.1286 0.6286 0.5000  6 Nb 2.73-2.75, 3 Ir 2.85-2.95
8 Ir 0.3714 0.1286 0.5000  6 Nb 2.73-2.75, 3 Ir 2.85-2.95
9 Ir 0.6286 0.8714 0.5000  6 Nb 2.73-2.75, 3 Ir 2.85-2.95
10 Ir 0.8714 0.3714 0.5000  6 Nb 2.73-2.75, 3 Ir 2.85-2.95